Crystalline KFe4Sb12 at its relaxed geometry. Source: the Alexandria database, functional PBE.

Values from the calculation:
Raw total energy in eV/f.u.: -86.0
V in Å³ per cell: 393
Formation energy without anion corrections in eV/f.u.: -1.6
Space-group type: Im-3

```
KFe4Sb12
1.0
7.9937 0.0000 0.0000
-2.6646 7.5366 0.0000
-2.6646 -3.7683 6.5269
Fe Sb K
4 12 1
Cartesian
1.3323 1.8841 3.2634
-1.3323 -1.8841 3.2634
3.9969 0.0000 0.0000
-1.3323 3.7683 0.0000
-1.7364 5.0460 2.1958
0.0071 3.8132 4.3311
-0.9282 0.6563 3.2548
5.3362 1.8792 1.1368
0.9282 3.1469 1.0590
3.5928 3.1120 3.2721
1.7364 0.6214 5.4679
4.4010 -1.2777 4.3311
-0.0071 -1.8442 5.4679
2.6716 5.6125 1.0590
2.6575 -0.0449 2.1958
-2.6716 1.8891 5.3901
0.0000 0.0000 0.0000
```